Density functional theory data (PBE) for crystalline PmPr4Sc2 at its relaxed geometry.

```
PmPr4Sc2
1.0
-3.112 3.650 -3.258
-4.824 -1.644 2.766
5.091 4.758 5.628
Pm Pr Sc
1 4 2
Cartesian
0.000 0.000 0.000 Pm
-3.283 4.520 3.039 Pr
0.438 2.245 2.097 Pr
-2.412 -0.822 1.383 Pr
-1.556 1.825 -1.629 Pr
0.898 4.605 4.302 Sc
-3.743 2.159 0.834 Sc
```

SG: I4/mmm
E above lowest polymorph: 458 meV/atom
DOS at the Fermi energy: 13.2 states/eV/cell
Calculated volume: 268 Å³/cell
Magnetization: 0.10 μB/f.u.